1.
{"formula": "Sc2AsH3", "functional": "PBE", "state": "relaxed", "cell": [[-2.509, 1.434, 1.990], [-3.355, -4.031, -4.417], [2.358, -3.069, 5.184]], "species": ["H", "H", "Sc", "Sc", "H", "As", "H", "H", "As", "Sc", "Sc", "H"], "fractional_positions": [[0.695, 0.389, 0.476], [0.404, 0.808, 0.369], [0.795, 0.591, 0.302], [0.205, 0.409, 0.698], [0.933, 0.867, 0.584], [0.869, 0.739, 0.958], [0.596, 0.192, 0.631], [0.067, 0.133, 0.416], [0.131, 0.261, 0.042], [0.530, 0.061, 0.266], [0.470, 0.939, 0.734], [0.305, 0.611, 0.524]], "dft_energy_ev_per_atom": -5.3538, "spacegroup": "C2/m"}

=====

2.
{"formula": "Sc2AsH", "functional": "PBE", "state": "relaxed", "cell": [[2.283, 1.775, 3.476], [0.797, 4.448, 0.146], [-2.144, 2.583, 3.030]], "species": ["Sc", "H", "As", "Sc"], "fractional_positions": [[0.250, 0.250, 0.250], [0.000, 0.000, 0.000], [0.500, 0.500, 0.500], [0.750, 0.750, 0.750]], "spacegroup": "Fm-3m", "polymorph_energy_ev_per_atom": 0.2625}

=====

3.
{"formula": "ScAs2H", "functional": "PBE", "state": "relaxed", "cell": [[0.000, 3.233, 3.233], [3.233, 0.000, 3.233], [3.233, 3.233, 0.000]], "species": ["H", "Sc", "As", "As"], "fractional_positions": [[0.000, 0.000, 0.000], [0.500, 0.500, 0.500], [0.750, 0.750, 0.750], [0.250, 0.250, 0.250]], "spacegroup": "Fm-3m", "polymorph_energy_ev_per_atom": 0.4083}

=====

| no. | spin magnetization (Bohr magnetons per cell) |
| --- | --- |
| 1 | 0.00 |
| 2 | 1.60 |
| 3 | 0.72 |